[1]
The following is a PBE calculation of a relaxed structure of NdTmMgIn, from Alexandria via LeMat-Bulk.

The space group is F-43m (No. 216) and the conventional cell measures 7.5842, 7.5842 and 7.5842 Å, with angles of 90.00, 90.00 and 90.00 degrees. The distinct sites, in fractional coordinates, are Nd at (0.0000, 0.0000, 0.0000), Tm at (0.0000, 0.0000, 0.5000), Mg at (0.2500, 0.2500, 0.2500) and In at (0.2500, 0.2500, 0.7500).

The magnetization is 0.00 μB per formula unit. The calculated total energy is -59.28 eV for the cell shown. The formation energy comes out at -312.2 meV/atom.

[2]
The following is a PBE calculation of a relaxed structure of SmIn2Pb, from Alexandria via LeMat-Bulk.

The space group is P4/mmm (No. 123) and the conventional cell measures 4.6633, 4.6633 and 4.9750 Å, with angles of 90.00, 90.00 and 90.00 degrees. The distinct sites, in fractional coordinates, are Sm at (0.0000, 0.0000, 0.0000), In at (0.0000, 0.5000, 0.5000) and Pb at (0.5000, 0.5000, 0.0000).

The magnetization is 0.00 μB per formula unit. The calculated total energy is -15.53 eV for the cell shown. The formation energy comes out at -407.6 meV/atom.

[3]
The following is a PBE calculation of a relaxed structure of BaScTlCl6, from Alexandria via LeMat-Bulk.

The space group is P-31c (No. 163) and the conventional cell measures 7.5030, 7.5030 and 12.7458 Å, with angles of 90.00, 90.00 and 120.00 degrees. The distinct sites, in fractional coordinates, are Ba at (0.3333, 0.6667, 0.2500), Sc at (0.3333, 0.6667, 0.7500), Tl at (0.0000, 0.0000, 0.0000) and Cl at (0.0571, 0.3951, 0.6360).

The magnetization is 0.00 μB per formula unit. The calculated total energy is -79.56 eV for the cell shown.

[4]
The following is a PBE calculation of a relaxed structure of GaTcAs2, from Alexandria via LeMat-Bulk.

The space group is I-42d (No. 122) and the conventional cell measures 5.6552, 5.6552 and 11.6032 Å, with angles of 90.00, 90.00 and 90.00 degrees. The distinct sites, in fractional coordinates, are Ga at (0.0000, 0.0000, 0.0000), Tc at (0.0000, 0.0000, 0.5000) and As at (0.2259, 0.2500, 0.6250).

The magnetization is 0.00 μB per formula unit. The calculated total energy is -88.60 eV for the cell shown. The formation energy comes out at 135.6 meV/atom.

[5]
The following is a PBE calculation of a relaxed structure of Zn2Cd2Au, from Alexandria via LeMat-Bulk.

The space group is I4/mmm (No. 139) and the conventional cell measures 3.9929, 3.9929 and 12.9198 Å, with angles of 90.00, 90.00 and 90.00 degrees. The distinct sites, in fractional coordinates, are Zn at (0.0000, 0.0000, 0.0917), Cd at (0.0000, 0.5000, 0.2500) and Au at (0.0000, 0.0000, 0.5000).

The magnetization is 0.00 μB per formula unit. The calculated total energy is -13.38 eV for the cell shown. The formation energy comes out at 193.1 meV/atom.

[6]
The following is a PBE calculation of a relaxed structure of Ac3CI3, from Alexandria via LeMat-Bulk.

The space group is P2_1/m (No. 11) and the conventional cell measures 9.5542, 4.2270 and 12.7427 Å, with angles of 90.00, 93.13 and 90.00 degrees. The distinct sites, in fractional coordinates, are Ac at (0.0854, 0.2500, 0.3948), Ac at (0.1145, 0.2500, 0.8291), Ac at (0.3053, 0.7500, 0.6181), C at (0.1227, 0.2500, 0.6196), I at (0.1496, 0.2500, 0.1201), I at (0.3828, 0.7500, 0.3622) and I at (0.3840, 0.7500, 0.8769).

The magnetization is 0.00 μB per formula unit. The calculated total energy is -65.54 eV for the cell shown.

[7]
The following is a PBE calculation of a relaxed structure of Li2ThPd3, from Alexandria via LeMat-Bulk.

The space group is P6_3/mmc (No. 194) and the conventional cell measures 4.4899, 4.4899 and 12.1168 Å, with angles of 90.00, 90.00 and 120.00 degrees. The distinct sites, in fractional coordinates, are Li at (0.3333, 0.6667, 0.0747), Th at (0.0000, 0.0000, 0.2500), Pd at (0.0000, 0.0000, 0.0000) and Pd at (0.3333, 0.6667, 0.6314).

The magnetization is 0.00 μB per formula unit. The calculated total energy is -60.88 eV for the cell shown. The formation energy comes out at -602.0 meV/atom.

[8]
The following is a PBE calculation of a relaxed structure of B5C7, from Alexandria via LeMat-Bulk.

The space group is Cm (No. 8) and the conventional cell measures 13.3611, 2.5881 and 4.7397 Å, with angles of 90.00, 105.52 and 90.00 degrees. The distinct sites, in fractional coordinates, are B at (0.0000, 0.0000, 0.0000), B at (0.0010, 0.5000, 0.5298), B at (0.1387, 0.0000, 0.2145), B at (0.1634, 0.0000, 0.8662), B at (0.2952, 0.5000, 0.4970), C at (0.1245, 0.5000, 0.6508), C at (0.1706, 0.5000, 0.4028), C at (0.2958, 0.0000, 0.0133), C at (0.3384, 0.5000, 0.1975), C at (0.3396, 0.0000, 0.7320), C at (0.4531, 0.0000, 0.8094) and C at (0.4571, 0.5000, 0.3024).

The magnetization is 0.00 μB per formula unit. The calculated total energy is -186.65 eV for the cell shown. The formation energy comes out at 385.9 meV/atom.

[9]
The following is a PBE calculation of a relaxed structure of CdCuOs2S, from Alexandria via LeMat-Bulk.

The space group is P4/mmm (No. 123) and the conventional cell measures 4.9913, 4.9913 and 4.6207 Å, with angles of 90.00, 90.00 and 90.00 degrees. The distinct sites, in fractional coordinates, are Cd at (0.0000, 0.0000, 0.0000), Cu at (0.0000, 0.0000, 0.5000), Os at (0.0000, 0.5000, 0.0000) and S at (0.5000, 0.5000, 0.5000).

The magnetization is 4.92 μB per formula unit. The calculated total energy is -18.45 eV for the cell shown.

[10]
The following is a PBE calculation of a relaxed structure of Sr4Ag, from Alexandria via LeMat-Bulk.

The space group is I4/m (No. 87) and the conventional cell measures 10.4402, 10.4402 and 4.0834 Å, with angles of 90.00, 90.00 and 90.00 degrees. The distinct sites, in fractional coordinates, are Sr at (0.0685, 0.2578, 0.0000) and Ag at (0.0000, 0.0000, 0.5000).

The magnetization is 0.00 μB per formula unit. The calculated total energy is -20.10 eV for the cell shown. The formation energy comes out at -94.1 meV/atom.

[11]
The following is a PBE calculation of a relaxed structure of SbAsOs2, from Alexandria via LeMat-Bulk.

The space group is P4/mmm (No. 123) and the conventional cell measures 4.5067, 4.5067 and 3.2261 Å, with angles of 90.00, 90.00 and 90.00 degrees. The distinct sites, in fractional coordinates, are Sb at (0.0000, 0.0000, 0.0000), As at (0.5000, 0.5000, 0.0000) and Os at (0.0000, 0.5000, 0.5000).

The magnetization is 0.00 μB per formula unit. The calculated total energy is -28.87 eV for the cell shown.

[12]
The following is a PBE calculation of a relaxed structure of Ce5Sn2Ir, from Alexandria via LeMat-Bulk.

The space group is Pbam (No. 55) and the conventional cell measures 7.9029, 12.3118 and 4.6940 Å, with angles of 90.00, 90.00 and 90.00 degrees. The distinct sites, in fractional coordinates, are Ce at (0.0000, 0.0000, 0.0000), Ce at (0.1325, 0.2968, 0.0000), Ce at (0.2017, 0.5614, 0.5000), Sn at (0.0844, 0.8254, 0.5000) and Ir at (0.0000, 0.5000, 0.0000).

The magnetization is 4.66 μB per formula unit. The calculated total energy is -102.25 eV for the cell shown. The formation energy comes out at -573.4 meV/atom.

[13]
The following is a PBE calculation of a relaxed structure of Pr6Sm3Sc, from Alexandria via LeMat-Bulk.

The space group is Cmc2_1 (No. 36) and the conventional cell measures 11.0657, 19.3805 and 6.4571 Å, with angles of 90.00, 90.00 and 90.00 degrees. The distinct sites, in fractional coordinates, are Pr at (0.0000, 0.0404, 0.0000), Pr at (0.0000, 0.2781, 0.7635), Pr at (0.1673, 0.4590, 0.6700), Pr at (0.2370, 0.2912, 0.4823), Sm at (0.0000, 0.3824, 0.1929), Sm at (0.1690, 0.1160, 0.5699) and Sc at (0.0000, 0.1980, 0.2343).

The magnetization is 0.00 μB per formula unit. The calculated total energy is -191.22 eV for the cell shown. The formation energy comes out at 136.2 meV/atom.

[14]
The following is a PBE calculation of a relaxed structure of Cs2Pb2I, from Alexandria via LeMat-Bulk.

The space group is P4/mbm (No. 127) and the conventional cell measures 11.1360, 11.1360 and 4.6715 Å, with angles of 90.00, 90.00 and 90.00 degrees. The distinct sites, in fractional coordinates, are Cs at (0.2107, 0.2893, 0.0000), Pb at (0.0892, 0.5892, 0.5000) and I at (0.0000, 0.0000, 0.0000).

The magnetization is 0.00 μB per formula unit. The calculated total energy is -24.39 eV for the cell shown.

[15]
The following is a PBE calculation of a relaxed structure of LiNb2CrNi, from Alexandria via LeMat-Bulk.

The space group is P4/mmm (No. 123) and the conventional cell measures 4.6831, 4.6831 and 4.2514 Å, with angles of 90.00, 90.00 and 90.00 degrees. The distinct sites, in fractional coordinates, are Li at (0.0000, 0.0000, 0.0000), Nb at (0.0000, 0.5000, 0.5000), Cr at (0.5000, 0.5000, 0.0000) and Ni at (0.5000, 0.5000, 0.5000).

The magnetization is 0.00 μB per formula unit. The calculated total energy is -32.05 eV for the cell shown. The formation energy comes out at 1082.6 meV/atom.

[16]
The following is a PBE calculation of a relaxed structure of LaTaN2F, from Alexandria via LeMat-Bulk.

The space group is P4/mmm (No. 123) and the conventional cell measures 4.1571, 4.1571 and 4.0474 Å, with angles of 90.00, 90.00 and 90.00 degrees. The distinct sites, in fractional coordinates, are La at (0.0000, 0.0000, 0.0000), Ta at (0.5000, 0.5000, 0.5000), N at (0.0000, 0.5000, 0.5000) and F at (0.5000, 0.5000, 0.0000).

The magnetization is 0.00 μB per formula unit. The calculated total energy is -43.20 eV for the cell shown.

[17]
The following is a PBE calculation of a relaxed structure of TlNi2Pb, from Alexandria via LeMat-Bulk.

The space group is Pmm2 (No. 25) and the conventional cell measures 3.6329, 3.7293 and 5.4962 Å, with angles of 90.00, 90.00 and 90.00 degrees. The distinct sites, in fractional coordinates, are Tl at (0.0000, 0.0000, 0.0000), Ni at (0.0000, 0.0000, 0.5310), Ni at (0.5000, 0.5000, 0.8439) and Pb at (0.5000, 0.5000, 0.3691).

The magnetization is 0.00 μB per formula unit. The calculated total energy is -16.39 eV for the cell shown. The formation energy comes out at 312.5 meV/atom.

[18]
The following is a PBE calculation of a relaxed structure of CaGeNO2, from Alexandria via LeMat-Bulk.

The space group is P4/mmm (No. 123) and the conventional cell measures 4.3430, 4.3430 and 4.5019 Å, with angles of 90.00, 90.00 and 90.00 degrees. The distinct sites, in fractional coordinates, are Ca at (0.0000, 0.0000, 0.0000), Ge at (0.5000, 0.5000, 0.5000), N at (0.0000, 0.0000, 0.5000) and O at (0.0000, 0.5000, 0.0000).

The magnetization is 3.00 μB per formula unit. The calculated total energy is -23.30 eV for the cell shown.

[19]
The following is a PBE calculation of a relaxed structure of ZrSc2Ir4, from Alexandria via LeMat-Bulk.

The space group is I4/mmm (No. 139) and the conventional cell measures 6.3811, 6.3811 and 6.2422 Å, with angles of 90.00, 90.00 and 90.00 degrees. The distinct sites, in fractional coordinates, are Zr at (0.0000, 0.0000, 0.0000), Sc at (0.0000, 0.5000, 0.0000) and Ir at (0.2500, 0.2500, 0.2500).

The magnetization is 0.00 μB per formula unit. The calculated total energy is -120.24 eV for the cell shown. The formation energy comes out at -495.0 meV/atom.

[20]
The following is a PBE calculation of a relaxed structure of Lu2HfZn, from Alexandria via LeMat-Bulk.

The space group is R-3m (No. 166, hexagonal axes) and the conventional cell measures 3.2129, 3.2129 and 33.1440 Å, with angles of 90.00, 90.00 and 120.00 degrees. The distinct sites, in fractional coordinates, are Lu at (0.0000, 0.0000, 0.0959), Hf at (0.0000, 0.0000, 0.0000) and Zn at (0.0000, 0.0000, 0.5000).

The magnetization is 0.00 μB per formula unit. The calculated total energy is -57.35 eV for the cell shown. The formation energy comes out at 288.0 meV/atom.